# 1
A plane-wave DFT calculation with PBE was carried out for a relaxed structure of CrPPd3.

Results
For the total DFT energy (no corrections), the calculation gives -4.9919 eV per atom. As for the formation energy: 5.65 eV/f.u.

Cell lengths 4.5493, 4.5493, 4.5493 Å; angles 90.00, 90.00, 90.00 degrees
Last column: nearest neighbours and their distance in Å.
Space group Pm-3m (No. 221)
Symmetry-distinct sites (fractional):
Cr (0.0000, 0.0000, 0.0000) [1 per cell]  6 Pd 2.27
P (0.5000, 0.5000, 0.5000) [1 per cell]  12 Pd 3.22
Pd (0.0000, 0.0000, 0.5000) [3 per cell]  2 Cr 2.27

***

# 2
A plane-wave DFT calculation with PBE was carried out for a relaxed structure of CrPPd.

Results
For the total DFT energy (no corrections), the calculation gives -7.0831 eV per atom. As for the formation energy: -1.02 eV/f.u.

Cell lengths 5.6826, 5.6826, 5.6826 Å; angles 90.00, 90.00, 90.00 degrees
Last column: nearest neighbours and their distance in Å.
Space group F-43m (No. 216)
Symmetry-distinct sites (fractional):
Cr (0.0000, 0.0000, 0.0000) [4 per cell]  4 P 2.46
P (0.2500, 0.2500, 0.7500) [4 per cell]  4 Cr 2.46, 4 Pd 2.46
Pd (0.0000, 0.0000, 0.5000) [4 per cell]  4 P 2.46

***

# 3
A plane-wave DFT calculation with PBE was carried out for a relaxed structure of CrP2Pd.

Results
For the total DFT energy (no corrections), the calculation gives -6.3917 eV per atom. As for the formation energy: 0.07 eV/f.u.

Cell lengths 6.0240, 6.0240, 6.0240 Å; angles 90.00, 90.00, 90.00 degrees
Last column: nearest neighbours and their distance in Å.
Space group Fm-3m (No. 225)
Symmetry-distinct sites (fractional):
Cr (0.0000, 0.0000, 0.0000) [4 per cell]  8 P 2.61
P (0.2500, 0.2500, 0.2500) [8 per cell]  4 Pd 2.61, 4 Cr 2.61
Pd (0.0000, 0.0000, 0.5000) [4 per cell]  8 P 2.61

***

# 4
A plane-wave DFT calculation with PBE was carried out for a relaxed structure of CrPPd2.

Results
For the total DFT energy (no corrections), the calculation gives -6.3308 eV per atom. As for the formation energy: 0.10 eV/f.u.

Cell lengths 3.7323, 3.7323, 17.7290 Å; angles 90.00, 90.00, 90.00 degrees
Last column: nearest neighbours and their distance in Å.
Space group I-42d (No. 122)
Symmetry-distinct sites (fractional):
Cr (0.0000, 0.0000, 0.0000) [4 per cell]  4 Pd 2.59, 4 P 2.64
P (0.0000, 0.0000, 0.5000) [4 per cell]  4 Pd 2.57, 4 Cr 2.64
Pd (0.2427, 0.2500, 0.6250) [8 per cell]  2 P 2.57, 2 Cr 2.59, 4 Pd 2.60-2.68

***

# 5
A plane-wave DFT calculation with PBE was carried out for a relaxed structure of CrPPd.

Results
For the total DFT energy (no corrections), the calculation gives -7.0976 eV per atom. As for the formation energy: -1.07 eV/f.u.

Cell lengths 6.4100, 6.4100, 3.5964 Å; angles 90.00, 90.00, 120.00 degrees
Last column: nearest neighbours and their distance in Å.
Space group P-62m (No. 189)
Symmetry-distinct sites (fractional):
Cr (0.0000, 0.3936, 0.0000) [3 per cell]  5 P 2.52-2.67, 2 Pd 2.82
P (0.0000, 0.0000, 0.0000) [1 per cell]  6 Pd 2.49, 3 Cr 2.52
P (0.3333, 0.6667, 0.5000) [2 per cell]  3 Pd 2.37
Pd (0.0000, 0.7316, 0.5000) [3 per cell]  4 P 2.37-2.49

***

# 6
A plane-wave DFT calculation with PBE was carried out for a relaxed structure of Cr2PPd4.

Results
For the total DFT energy (no corrections), the calculation gives -6.1614 eV per atom. As for the formation energy: 2.30 eV/f.u.

Cell lengths 4.4733, 4.4733, 13.0004 Å; angles 90.00, 90.00, 90.00 degrees
Last column: nearest neighbours and their distance in Å.
Space group I4/mmm (No. 139)
Symmetry-distinct sites (fractional):
Cr (0.0000, 0.0000, 0.1277) [4 per cell]  5 Pd 2.56-2.79
P (0.0000, 0.0000, 0.5000) [2 per cell]  6 Pd 2.24-2.28
Pd (0.0000, 0.0000, 0.3244) [4 per cell]  1 P 2.28
Pd (0.0000, 0.5000, 0.0000) [4 per cell]  2 P 2.24

***

# 7
A plane-wave DFT calculation with PBE was carried out for a relaxed structure of CrSiP2Pd.

Results
For the total DFT energy (no corrections), the calculation gives -5.1415 eV per atom. The value obtained for the raw formation energy is 103 kJ/mol of atoms.

Cell lengths 4.4844, 4.4844, 4.4523 Å; angles 90.00, 90.00, 90.00 degrees
Last column: nearest neighbours and their distance in Å.
Space group P4/mmm (No. 123)
Symmetry-distinct sites (fractional):
Cr (0.0000, 0.0000, 0.0000) [1 per cell]  8 P 3.16, 4 Pd 3.17
Si (0.5000, 0.5000, 0.5000) [1 per cell]  2 Pd 2.23, 4 P 2.24
P (0.0000, 0.5000, 0.5000) [2 per cell]  2 Si 2.24
Pd (0.5000, 0.5000, 0.0000) [1 per cell]  2 Si 2.23

***

# 8
A plane-wave DFT calculation with PBE was carried out for a relaxed structure of TaCrP2Pd.

Results
For the total DFT energy (no corrections), the calculation gives -5.9326 eV per atom. As for the formation energy: 7.83 eV/f.u.

Cell lengths 4.4674, 4.4674, 5.0043 Å; angles 90.00, 90.00, 90.00 degrees
Last column: nearest neighbours and their distance in Å.
Space group P4/mmm (No. 123)
Symmetry-distinct sites (fractional):
Ta (0.0000, 0.0000, 0.0000) [1 per cell]  2 Pd 2.50
Cr (0.5000, 0.5000, 0.0000) [1 per cell]  4 Ta 3.16, 8 P 3.35
P (0.0000, 0.5000, 0.5000) [2 per cell]  2 Pd 2.23
Pd (0.0000, 0.0000, 0.5000) [1 per cell]  4 P 2.23

***

# 9
A plane-wave DFT calculation with PBE was carried out for a relaxed structure of TlCrPPd2.

Results
For the total DFT energy (no corrections), the calculation gives -5.0685 eV per atom. As for the formation energy: 2.44 eV/f.u.

Cell lengths 4.8330, 4.8330, 4.3456 Å; angles 90.00, 90.00, 90.00 degrees
Last column: nearest neighbours and their distance in Å.
Space group P4/mmm (No. 123)
Symmetry-distinct sites (fractional):
Tl (0.0000, 0.0000, 0.0000) [1 per cell]  8 Pd 3.25, 4 P 3.42
Cr (0.5000, 0.5000, 0.5000) [1 per cell]  2 P 2.17, 4 Pd 2.42
P (0.5000, 0.5000, 0.0000) [1 per cell]  2 Cr 2.17
Pd (0.0000, 0.5000, 0.5000) [2 per cell]  2 Cr 2.42

***

# 10
A plane-wave DFT calculation with PBE was carried out for a relaxed structure of PmCrP.

Results
For the total DFT energy (no corrections), the calculation gives -7.3473 eV per atom. As for the formation energy: -2.26 eV/f.u.

Cell lengths 7.8183, 3.7924, 7.5813 Å; angles 90.00, 90.93, 90.00 degrees
Last column: nearest neighbours and their distance in Å.
Space group P2_1/c (No. 14)
Symmetry-distinct sites (fractional):
Pm (0.1712, 0.2463, 0.3752) [4 per cell]  4 P 2.89-2.98, 3 Cr 3.12-3.23
Cr (0.4999, 0.2301, 0.1140) [4 per cell]  4 P 2.34-2.39, 1 Cr 2.46
P (0.3205, 0.7384, 0.1310) [4 per cell]  4 Cr 2.34-2.39

***

# 11
A plane-wave DFT calculation with PBE was carried out for a relaxed structure of Pm3CrP.

Results
For the total DFT energy (no corrections), the calculation gives -5.9205 eV per atom. As for the formation energy: -0.32 eV/f.u.

Cell lengths 5.4534, 5.4534, 5.4534 Å; angles 90.00, 90.00, 90.00 degrees
Last column: nearest neighbours and their distance in Å.
Space group Pm-3m (No. 221)
Symmetry-distinct sites (fractional):
Pm (0.0000, 0.0000, 0.5000) [3 per cell]  2 P 2.73
Cr (0.5000, 0.5000, 0.5000) [1 per cell]  12 Pm 3.86
P (0.0000, 0.0000, 0.0000) [1 per cell]  6 Pm 2.73

***

# 12
A plane-wave DFT calculation with PBE was carried out for a relaxed structure of PmCrP2.

Results
For the total DFT energy (no corrections), the calculation gives -6.2690 eV per atom. As for the formation energy: 0.12 eV/f.u.

Cell lengths 4.3107, 4.3107, 22.2305 Å; angles 90.00, 90.00, 120.00 degrees
Last column: nearest neighbours and their distance in Å.
Space group R-3m (No. 166, hexagonal axes)
Symmetry-distinct sites (fractional):
Pm (0.0000, 0.0000, 0.0000) [3 per cell]  6 P 2.88
Cr (0.0000, 0.0000, 0.5000) [3 per cell]  2 P 2.25
P (0.0000, 0.0000, 0.3988) [6 per cell]  1 Cr 2.25

***

# 13
A plane-wave DFT calculation with PBE was carried out for a relaxed structure of Pr2CrP3Rh12.

Results
For the total DFT energy (no corrections), the calculation gives -7.0461 eV per atom. As for the formation energy: -3.20 eV/f.u.

Cell lengths 8.4463, 8.4463, 15.4742 Å; angles 90.00, 90.00, 120.00 degrees
Last column: nearest neighbours and their distance in Å.
Space group R-3m (No. 166, hexagonal axes)
Symmetry-distinct sites (fractional):
Pr (0.0000, 0.0000, 0.1075) [6 per cell]  3 Rh 2.76
Cr (0.0000, 0.0000, 0.5000) [3 per cell]  6 Rh 2.48
P (0.0000, 0.5000, 0.0000) [9 per cell]  6 Rh 2.19-2.30
Rh (0.0011, 0.5006, 0.8583) [18 per cell]  1 P 2.19
Rh (0.0539, 0.5269, 0.3567) [18 per cell]  2 P 2.30

***

# 14
A plane-wave DFT calculation with PBE was carried out for a relaxed structure of PrCrP2Rh5.

Results
For the total DFT energy (no corrections), the calculation gives -7.2137 eV per atom. As for the formation energy: -2.94 eV/f.u.

Cell lengths 4.0947, 4.0947, 9.6448 Å; angles 90.00, 90.00, 90.00 degrees
Last column: nearest neighbours and their distance in Å.
Space group P4/mmm (No. 123)
Symmetry-distinct sites (fractional):
Pr (0.0000, 0.0000, 0.0000) [1 per cell]  4 Rh 2.90
Cr (0.5000, 0.5000, 0.5000) [1 per cell]  8 Rh 2.55, 2 P 2.58
P (0.5000, 0.5000, 0.2323) [2 per cell]  5 Rh 2.24-2.31
Rh (0.0000, 0.5000, 0.3431) [4 per cell]  2 P 2.31, 2 Cr 2.55
Rh (0.5000, 0.5000, 0.0000) [1 per cell]  2 P 2.24

***

Number 1: Fermi-level density of states 6.464 states/eV/f.u.. Number 2: Fermi-level density of states 1.063 states/eV/f.u.. Number 3: Fermi-level density of states 2.462 states/eV/f.u.. Number 4: Fermi-level density of states 2.251 states/eV/f.u.. Number 5: Fermi-level density of states 0.956 states/eV/f.u.. Number 6: Fermi-level density of states 6.176 states/eV/f.u.. Number 7: Fermi-level density of states 4.430 states/eV/f.u.. Number 8: Fermi-level density of states 7.354 states/eV/f.u.. Number 9: Fermi-level density of states 5.159 states/eV/f.u.. Number 10: Fermi-level density of states 3.169 states/eV/f.u.. Number 11: Fermi-level density of states 9.070 states/eV/f.u.. Number 12: Fermi-level density of states 2.793 states/eV/f.u.. Number 13: Fermi-level density of states 15.307 states/eV/f.u.. Number 14: Fermi-level density of states 5.571 states/eV/f.u..